Material: NbAl2Mo
Method: DFT, PBE
State: optimized geometry

a = 7.061 Å, b = 7.061 Å, c = 5.507 Å
α = 90.00°, β = 90.00°, γ = 90.00°
Space group I-42d (No. 122)
Asymmetric unit:
Nb 0.000 0.000 0.000 (multiplicity 4)
Al 0.241 0.250 0.625 (multiplicity 8)
Mo 0.000 0.000 0.500 (multiplicity 4)

Calculated values
As for the density of states at the Fermi level: 12.85 states/eV per cell. The calculation puts the formation energy from the elements at 0.2426 eV/atom.